Entry 1:
Here is a relaxed structure of Er2TiPb from the Alexandria database. Energies are from PBE.

Total magnetization in μB/cell: 3.1
Calculated volume in Å³/cell: 102.3
Energy of formation in eV per formula unit: -0.44
N(E_F) in states/eV/atom: 1.0166

a = 4.277 Å, b = 4.890 Å, c = 4.890 Å
α = 90.00°, β = 90.00°, γ = 90.00°
Atoms (fractional coordinates):
Er (0.000, 0.000, 0.500)
Er (0.000, 0.500, 0.000)
Pb (0.500, 0.500, 0.500)
Ti (0.500, 0.000, 0.000)

=====

Entry 2:
Here is a relaxed structure of YAsRu from the Alexandria database. Energies are from PBE.

Total magnetization in μB/cell: 0.3
Calculated volume in Å³/cell: 59.8
Energy of formation in eV per formula unit: -2.12
N(E_F) in states/eV/atom: 1.3583

a = 4.249 Å, b = 4.249 Å, c = 3.828 Å
α = 90.00°, β = 90.00°, γ = 120.00°
Atoms (fractional coordinates):
Y (0.333, 0.667, 0.667)
As (0.000, 0.000, 0.167)
Ru (0.667, 0.333, 0.166)

=====

Entry 3:
Here is a relaxed structure of BaAcDyTl from the Alexandria database. Energies are from PBE.

Total magnetization in μB/cell: 0.3
Calculated volume in Å³/cell: 149.9
Energy of formation in eV per formula unit: 0.48
N(E_F) in states/eV/atom: 1.5219

a = 5.963 Å, b = 5.963 Å, c = 5.963 Å
α = 60.00°, β = 60.00°, γ = 60.00°
Atoms (fractional coordinates):
Ba (0.000, 0.000, 0.000)
Tl (0.750, 0.750, 0.750)
Dy (0.500, 0.500, 0.500)
Ac (0.250, 0.250, 0.250)

=====

Entry 4:
Here is a relaxed structure of CaMn2Ru from the Alexandria database. Energies are from PBE.

Total magnetization in μB/cell: 7.7
Calculated volume in Å³/cell: 68.4
Energy of formation in eV per formula unit: 2.15
N(E_F) in states/eV/atom: 1.0156
Polymorph energy (0 for the lowest one) in meV per atom: 217

a = 4.447 Å, b = 4.447 Å, c = 3.458 Å
α = 90.00°, β = 90.00°, γ = 90.17°
Atoms (fractional coordinates):
Mn (0.000, 0.000, 0.000)
Mn (0.500, 0.500, 0.000)
Ru (0.500, 0.000, 0.500)
Ca (0.000, 0.500, 0.500)

=====

Q: The lowest calculated volume belongs to which entry?
A: YAsRu